(1)
# LiCa2HPd, relaxed, DFT PBE
data_LiCa2HPd
_cell_length_a 5.206
_cell_length_b 5.206
_cell_length_c 3.727
_cell_angle_alpha 90.00
_cell_angle_beta 90.00
_cell_angle_gamma 90.00
_symmetry_space_group_name_H-M 'P 4/m m m'
_symmetry_Int_Tables_number 123
_symmetry_space_group_name_Hall '-P 4 2'
loop_
_atom_site_label
_atom_site_type_symbol
_atom_site_fract_x
_atom_site_fract_y
_atom_site_fract_z
Li1 Li 0.000 0.000 0.000
Ca1 Ca 0.000 0.500 0.500
H1 H 0.500 0.500 0.500
Pd1 Pd 0.500 0.500 0.000
# Energy above the most stable polymorph in this dataset (eV per formula unit): 0.43

(2)
# LiCaH6Pd, relaxed, DFT PBE
data_LiCaH6Pd
_cell_length_a 4.6765
_cell_length_b 4.6765
_cell_length_c 4.5301
_cell_angle_alpha 90.00
_cell_angle_beta 90.00
_cell_angle_gamma 120.00
_symmetry_space_group_name_H-M 'P 3 1 2'
_symmetry_Int_Tables_number 149
_symmetry_space_group_name_Hall 'P 3 2'
loop_
_atom_site_label
_atom_site_type_symbol
_atom_site_fract_x
_atom_site_fract_y
_atom_site_fract_z
Li1 Li 0.0000 0.0000 0.0000
Ca1 Ca 0.6667 0.3333 0.5000
H1 H 0.1003 0.3601 0.2397
Pd1 Pd 0.3333 0.6667 0.0000
# VASP energy (eV/atom): -3.5047

(3)
# LiCaHPd2, relaxed, DFT PBE
data_LiCaHPd2
_cell_length_a 4.115
_cell_length_b 4.115
_cell_length_c 4.344
_cell_angle_alpha 90.00
_cell_angle_beta 90.00
_cell_angle_gamma 90.00
_symmetry_space_group_name_H-M 'P 4/m m m'
_symmetry_Int_Tables_number 123
_symmetry_space_group_name_Hall '-P 4 2'
loop_
_atom_site_label
_atom_site_type_symbol
_atom_site_fract_x
_atom_site_fract_y
_atom_site_fract_z
Li1 Li 0.000 0.000 0.000
Ca1 Ca 0.500 0.500 0.000
H1 H 0.500 0.500 0.500
Pd1 Pd 0.000 0.500 0.500
# Energy above the most stable polymorph in this dataset (eV per formula unit): 0.23